Here is crystalline HoErTaN3 at its relaxed geometry from Alexandria via LeMat-Bulk. Energies are from PBE.

abc: 7.066 3.370 7.925
angles: 90.00 90.32 90.00
Fractional positions:
1 Ho 0.143 0.250 0.153
2 Ho 0.857 0.750 0.847
3 Er 0.394 0.750 0.848
4 Er 0.606 0.250 0.152
5 Ta 0.129 0.250 0.579
6 Ta 0.871 0.750 0.421
7 N 0.126 0.250 0.839
8 N 0.183 0.750 0.449
9 N 0.378 0.750 0.123
10 N 0.622 0.250 0.877
11 N 0.817 0.250 0.551
12 N 0.874 0.750 0.161

Properties
* energy relative to the elements, uncorrected: -1.156 eV/atom